[1]
A geometry-optimized LiVAsPd structure. Source: Alexandria via LeMat-Bulk, functional PBE-GGA.

The structure in POSCAR format:
```
LiVAsPd
1.0
0.000 3.067 3.067
3.067 0.000 3.067
3.067 3.067 0.000
Li V As Pd
1 1 1 1
direct
0.000 0.000 0.000
0.500 0.500 0.500
0.250 0.250 0.250
0.750 0.750 0.750
```

Results
calculated formation energy = -0.37 eV/atom
ρ = 6.88 Mg/m³
space group = F-43m (216)



[2]
A geometry-optimized ScTlIr3 structure. Source: Alexandria via LeMat-Bulk, functional PBE-GGA.

The structure in POSCAR format:
```
ScTlIr3
1.0
4.911 0.000 0.000
0.000 4.911 0.000
0.000 0.000 4.911
Sc Tl Ir
1 1 3
direct
0.000 0.000 0.000
0.500 0.500 0.500
0.000 0.500 0.500
0.500 0.000 0.500
0.500 0.500 0.000
```

Results
calculated formation energy = 1.64 eV/atom
distance to the lowest polymorph of the same formula = 7.81 kcal/mol of atoms
ρ = 11.58 Mg/m³
space group = Pm-3m (221)



[3]
A geometry-optimized Pr4YCd2 structure. Source: Alexandria via LeMat-Bulk, functional PBE-GGA.

The structure in POSCAR format:
```
Pr4YCd2
1.0
-4.810 4.810 4.954
4.810 -4.810 4.954
4.810 4.810 -4.954
Pr Y Cd
8 2 4
direct
0.143 0.725 0.743
0.150 0.232 0.757
0.275 0.018 0.417
0.475 0.393 0.243
0.600 0.857 0.583
0.607 0.850 0.083
0.768 0.525 0.917
0.982 0.400 0.257
0.000 0.000 0.000
0.750 0.250 0.500
0.225 0.625 0.100
0.375 0.475 0.600
0.525 0.125 0.900
0.875 0.775 0.400
```

Results
calculated formation energy = 0.05 eV/atom
ρ = 6.36 Mg/m³
space group = I-42d (122)



[4]
A geometry-optimized As2Ru structure. Source: Alexandria via LeMat-Bulk, functional PBE-GGA.

The structure in POSCAR format:
```
As2Ru
1.0
-1.485 1.485 6.008
1.485 -1.485 6.008
1.485 1.485 -6.008
As Ru
2 1
direct
0.133 0.133 0.000
0.867 0.867 0.000
0.500 0.500 0.000
```

Results
calculated formation energy = -0.08 eV/atom
ρ = 7.87 Mg/m³
space group = I4/mmm (139)



| no. | VASP energy (eV per formula unit) |
| --- | --- |
| 1 | -22.366 |
| 2 | -27.069 |
| 3 | -27.094 |
| 4 | -18.820 |